# 1
A plane-wave DFT calculation with PBE was carried out for AgIrPdCl6 after structural relaxation.

Cell and atoms, written as POSCAR:
```
AgIrPdCl6
1.0
5.9310 0.0000 0.0000
0.0000 5.9310 0.0000
0.0000 0.0000 11.4900
Ag Ir Pd Cl
2 2 2 12
Cartesian
2.9655 2.9655 5.7071 Ag
0.0000 0.0000 11.4521 Ag
2.9655 2.9655 9.5575 Ir
0.0000 0.0000 3.8125 Ir
2.9655 2.9655 1.9568 Pd
0.0000 0.0000 7.7018 Pd
1.0813 4.8497 5.6380 Cl
4.8497 1.0813 5.6380 Cl
1.8842 1.8842 11.3830 Cl
4.0468 4.0468 11.3830 Cl
1.1426 4.7884 2.0673 Cl
4.7884 1.1426 2.0673 Cl
1.8229 1.8229 7.8123 Cl
4.1081 4.1081 7.8123 Cl
4.6482 1.2828 9.5366 Cl
1.2828 4.6482 9.5366 Cl
4.2483 4.2483 3.7916 Cl
1.6827 1.6827 3.7916 Cl
```

Calculated values
density of states at the Fermi level: 14.8 states/eV/cell
total energy: -3.46 eV per atom
SG: No. 102
uncorrected formation energy: -33.99 kJ/mol of atoms

***

# 2
A plane-wave DFT calculation with PBE was carried out for Na3H2Se after structural relaxation.

Cell and atoms, written as POSCAR:
```
Na3H2Se
1.0
-2.8976 -1.7252 -0.9394
-1.2762 -1.5511 6.7850
-2.9847 10.2343 -3.0658
Na H Se
6 4 2
Cartesian
-2.2204 3.9875 -0.4739 Na
-1.5390 -0.4787 5.6266 Na
-4.1612 6.2800 1.3027 Na
-4.9381 2.9706 3.2537 Na
-2.9972 0.6781 1.4772 Na
-5.6194 7.4368 -2.8467 Na
-2.8720 3.9009 1.6951 H
-4.2864 3.0571 1.0847 H
-6.3084 6.1019 1.7301 H
-0.8500 0.8562 1.0497 H
-3.3807 6.4487 -1.4149 Se
-3.7778 0.5093 4.1947 Se
```

Calculated values
density of states at the Fermi level: 2.9 states/eV/cell
total energy: -2.67 eV per atom
SG: No. 12

***

# 3
A plane-wave DFT calculation with PBE was carried out for AgSbRhI2 after structural relaxation.

Cell and atoms, written as POSCAR:
```
AgSbRhI2
1.0
-1.2064 -4.4692 2.5335
1.2594 -2.7444 -4.2416
4.9763 -0.3700 1.7169
I Sb Rh Ag
2 1 1 1
Cartesian
2.4881 -0.1850 0.8584 I
-0.6032 -2.2346 1.2668 I
2.5146 -3.7918 0.0044 Sb
0.0000 0.0000 0.0000 Rh
0.6297 -1.3722 -2.1208 Ag
```

Calculated values
density of states at the Fermi level: 6.7 states/eV/cell
total energy: -2.92 eV per atom
energy above the most stable polymorph in this dataset: 112 kJ/mol of formula units
SG: No. 123
uncorrected formation energy: 54.91 kJ/mol of atoms

***

# 4
A plane-wave DFT calculation with PBE was carried out for RbPt3Au after structural relaxation.

Cell and atoms, written as POSCAR:
```
RbPt3Au
1.0
-3.7804 -1.1983 -3.1289
2.2555 -4.3985 -1.0406
-2.4776 -2.1759 3.8268
Au Rb Pt
1 1 3
Cartesian
-2.0012 -3.8863 -0.1714 Au
0.0000 0.0000 0.0000 Rb
1.1278 -2.1993 -0.5203 Pt
-1.2388 -1.0879 1.9134 Pt
-1.8902 -0.5992 -1.5644 Pt
```

Calculated values
density of states at the Fermi level: 3.7 states/eV/cell
total energy: -2.21 eV per atom
formation energy: 2.26 eV/atom
energy above the most stable polymorph in this dataset: 672 kJ/mol of formula units
SG: No. 221

***

# 5
A plane-wave DFT calculation with PBE was carried out for Sr2PHPd after structural relaxation.

Cell and atoms, written as POSCAR:
```
Sr2PHPd
1.0
-3.1305 0.3849 -2.9640
-4.4533 0.1283 4.7202
2.4526 7.8803 -1.5670
Sr P H Pd
4 2 2 2
Cartesian
-4.3991 4.9746 0.5520 Sr
-5.5669 0.7600 1.2381 Sr
-0.7321 3.4189 -0.3628 Sr
0.4357 7.6335 -1.0489 Sr
-2.9986 2.4906 1.9104 P
-2.1327 5.9029 -1.7213 P
-2.5122 6.8567 1.9638 H
-2.6190 1.5368 -1.7746 H
-1.4725 6.1832 0.7782 Pd
-3.6587 2.2103 -0.5890 Pd
```

Calculated values
density of states at the Fermi level: 0.1 states/eV/cell
total energy: -4.28 eV per atom
energy above the most stable polymorph in this dataset: 0 kJ/mol of formula units
SG: No. 11

***

# 6
A plane-wave DFT calculation with PBE was carried out for NaMgPb2Au after structural relaxation.

Cell and atoms, written as POSCAR:
```
NaMgPb2Au
1.0
-0.6001 4.6451 3.2409
-5.0700 -0.2950 -0.5159
-0.2822 -3.2795 4.6482
Pb Na Mg Au
2 1 1 1
Cartesian
-0.1411 -1.6397 2.3241 Pb
-0.3000 2.3225 1.6204 Pb
-2.9761 0.5353 3.6866 Na
-2.5350 -0.1475 -0.2580 Mg
0.0000 0.0000 0.0000 Au
```

Calculated values
density of states at the Fermi level: 3.8 states/eV/cell
total energy: -2.67 eV per atom
formation energy: 0.05 eV/atom
SG: No. 123